(1)
Computed, not measured: a relaxed structure of KSn2Au2 at the GGA-PBE level of DFT. Values from VASP.

Cell and atoms, written as Quantum ESPRESSO input:
```
&SYSTEM
  ibrav = 0, nat = 10, ntyp = 3
/
ATOMIC_SPECIES
Au 196.97 Au.upf
K 39.10 K.upf
Sn 118.71 Sn.upf
CELL_PARAMETERS angstrom
8.8783 0.0000 0.0000
0.0000 8.8783 0.0000
0.0000 0.0000 3.1666
ATOMIC_POSITIONS crystal
Au 0.8501 0.6499 0.0000
Au 0.1499 0.3501 0.0000
Au 0.6499 0.1499 0.0000
Au 0.3501 0.8501 0.0000
K 0.5000 0.5000 0.0000
K 0.0000 0.0000 0.0000
Sn 0.8577 0.3577 0.5000
Sn 0.6423 0.8577 0.5000
Sn 0.1423 0.6423 0.5000
Sn 0.3577 0.1423 0.5000
```

Summary:
Its total energy is -3.30 eV/atom. The value obtained for the calculated formation energy is -0.1657 eV/atom.

=====

(2)
Computed, not measured: a relaxed structure of K3Sn4Au2 at the GGA-PBE level of DFT. Values from VASP.

Cell and atoms, written as Quantum ESPRESSO input:
```
&SYSTEM
  ibrav = 0, nat = 9, ntyp = 3
/
ATOMIC_SPECIES
Sn 118.71 Sn.upf
Au 196.97 Au.upf
K 39.10 K.upf
CELL_PARAMETERS angstrom
4.5863 0.0002 0.0084
2.2890 6.8042 0.4799
2.3034 3.2557 9.8571
ATOMIC_POSITIONS crystal
Sn 0.2869 0.3417 0.0860
Sn 0.7131 0.6583 0.9140
Sn 0.0817 0.4771 0.3573
Sn 0.9183 0.5229 0.6427
Au 0.6600 0.4694 0.2113
Au 0.3400 0.5306 0.7887
K 0.0000 0.0000 0.0000
K 0.6299 0.1236 0.6156
K 0.3701 0.8764 0.3844
```

Summary:
Its total energy is -3.13 eV/atom. The value obtained for the calculated formation energy is -0.2618 eV/atom.

=====

(3)
Computed, not measured: a relaxed structure of K3Sn5Au6 at the GGA-PBE level of DFT. Values from VASP.

Cell and atoms, written as Quantum ESPRESSO input:
```
&SYSTEM
  ibrav = 0, nat = 28, ntyp = 3
/
ATOMIC_SPECIES
K 39.10 K.upf
Sn 118.71 Sn.upf
Au 196.97 Au.upf
CELL_PARAMETERS angstrom
4.7023 0.0000 0.0000
0.0000 11.6442 0.0000
0.0000 0.0000 13.8885
ATOMIC_POSITIONS crystal
K 0.5000 0.7478 0.5000
K 0.0000 0.2523 0.6524
K 0.5000 0.7477 0.8476
K 0.5000 0.7477 0.1524
K 0.0000 0.2523 0.3476
K 0.0000 0.2522 0.0000
Sn 0.0000 0.5114 0.8721
Sn 0.0000 0.9015 0.0000
Sn 0.0000 0.5114 0.1279
Sn 0.5000 0.4886 0.3721
Sn 0.5000 0.4886 0.6279
Sn 0.5000 0.1437 0.1724
Sn 0.5000 0.1437 0.8276
Sn 0.5000 0.0985 0.5000
Sn 0.0000 0.8563 0.3276
Sn 0.0000 0.8563 0.6724
Au 0.0000 0.9773 0.5000
Au 0.0000 0.0155 0.8234
Au 0.0000 0.6171 0.6897
Au 0.5000 0.4930 0.0000
Au 0.0000 0.5070 0.5000
Au 0.0000 0.0155 0.1766
Au 0.5000 0.9845 0.3234
Au 0.5000 0.0227 0.0000
Au 0.5000 0.3829 0.1897
Au 0.5000 0.9845 0.6766
Au 0.0000 0.6171 0.3103
Au 0.5000 0.3829 0.8103
```

Summary:
Its total energy is -3.33 eV/atom. The value obtained for the calculated formation energy is -0.2634 eV/atom.

=====

(4)
Computed, not measured: a relaxed structure of KSn2Au at the GGA-PBE level of DFT. Values from VASP.

Cell and atoms, written as Quantum ESPRESSO input:
```
&SYSTEM
  ibrav = 0, nat = 8, ntyp = 3
/
ATOMIC_SPECIES
Sn 118.71 Sn.upf
K 39.10 K.upf
Au 196.97 Au.upf
CELL_PARAMETERS angstrom
-0.7493 0.6537 4.6502
-5.7819 -3.8590 1.4844
4.4505 -6.2479 4.0269
ATOMIC_POSITIONS crystal
Sn 0.4540 0.1229 0.7026
Sn 0.8434 0.3771 0.7026
Sn 0.1566 0.6229 0.2974
Sn 0.5460 0.8771 0.2974
K 0.0636 0.7500 0.8728
K 0.9364 0.2500 0.1272
Au 0.2927 0.2500 0.4146
Au 0.7073 0.7500 0.5854
```

Summary:
Its total energy is -3.27 eV/atom. The value obtained for the calculated formation energy is -0.1793 eV/atom.

=====

(5)
Computed, not measured: a relaxed structure of KSn3Au3 at the GGA-PBE level of DFT. Values from VASP.

Cell and atoms, written as Quantum ESPRESSO input:
```
&SYSTEM
  ibrav = 0, nat = 14, ntyp = 3
/
ATOMIC_SPECIES
Sn 118.71 Sn.upf
Au 196.97 Au.upf
K 39.10 K.upf
CELL_PARAMETERS angstrom
7.7054 0.0000 0.0000
0.0000 7.7054 0.0000
0.0000 0.0000 7.7054
ATOMIC_POSITIONS crystal
Sn 0.5000 0.0000 0.7500
Sn 0.5000 0.0000 0.2500
Sn 0.0000 0.7500 0.5000
Sn 0.2500 0.5000 0.0000
Sn 0.0000 0.2500 0.5000
Sn 0.7500 0.5000 0.0000
Au 0.5000 0.2500 0.0000
Au 0.0000 0.5000 0.7500
Au 0.0000 0.5000 0.2500
Au 0.2500 0.0000 0.5000
Au 0.7500 0.0000 0.5000
Au 0.5000 0.7500 0.0000
K 0.0000 0.0000 0.0000
K 0.5000 0.5000 0.5000
```

Summary:
Its total energy is -3.41 eV/atom. The value obtained for the calculated formation energy is -0.1339 eV/atom.

=====

(6)
Computed, not measured: a relaxed structure of KSn4Au5 at the GGA-PBE level of DFT. Values from VASP.

Cell and atoms, written as Quantum ESPRESSO input:
```
&SYSTEM
  ibrav = 0, nat = 20, ntyp = 3
/
ATOMIC_SPECIES
Sn 118.71 Sn.upf
Au 196.97 Au.upf
K 39.10 K.upf
CELL_PARAMETERS angstrom
-3.0497 -3.3409 -1.9545
6.2230 -4.6722 -1.7239
-1.1296 -5.8345 11.7354
ATOMIC_POSITIONS crystal
Sn 0.5141 0.6940 0.0000
Sn 0.3004 0.5000 0.7722
Sn 0.6996 0.0000 0.7278
Sn 0.6996 0.0000 0.2722
Sn 0.4859 0.8060 0.5000
Sn 0.5141 0.3060 0.0000
Sn 0.3004 0.5000 0.2278
Sn 0.4859 0.1940 0.5000
Au 0.8048 0.6900 0.1799
Au 0.1952 0.1900 0.6799
Au 0.0357 0.5000 0.0000
Au 0.1952 0.8100 0.3201
Au 0.1952 0.8100 0.6799
Au 0.9643 0.0000 0.5000
Au 0.8048 0.3100 0.8201
Au 0.1952 0.1900 0.3201
Au 0.8048 0.6900 0.8201
Au 0.8048 0.3100 0.1799
K 0.0280 0.0000 0.0000
K 0.9720 0.5000 0.5000
```

Summary:
Its total energy is -3.52 eV/atom. The value obtained for the calculated formation energy is -0.1659 eV/atom.

=====

(7)
Computed, not measured: a relaxed structure of K3Sn5Au2 at the GGA-PBE level of DFT. Values from VASP.

Cell and atoms, written as Quantum ESPRESSO input:
```
&SYSTEM
  ibrav = 0, nat = 20, ntyp = 3
/
ATOMIC_SPECIES
Au 196.97 Au.upf
Sn 118.71 Sn.upf
K 39.10 K.upf
CELL_PARAMETERS angstrom
-3.5780 1.6302 -6.0439
-8.7137 -5.2595 -0.5611
-7.6937 6.3878 1.9768
ATOMIC_POSITIONS crystal
Au 0.6558 0.9867 0.7017
Au 0.1558 0.7017 0.9867
Au 0.8442 0.2983 0.0133
Au 0.3442 0.0133 0.2983
Sn 0.7500 0.5000 0.5000
Sn 0.8716 0.4954 0.7614
Sn 0.3716 0.7614 0.4954
Sn 0.0082 0.2418 0.2418
Sn 0.9918 0.7582 0.7582
Sn 0.2500 0.5000 0.5000
Sn 0.5082 0.2418 0.2418
Sn 0.6284 0.2386 0.5046
Sn 0.1284 0.5046 0.2386
Sn 0.4918 0.7582 0.7582
K 0.7500 0.0000 0.0000
K 0.1301 0.1339 0.6059
K 0.2500 0.0000 0.0000
K 0.8699 0.8661 0.3941
K 0.3699 0.3941 0.8661
K 0.6301 0.6059 0.1339
```

Summary:
Its total energy is -3.24 eV/atom. The value obtained for the calculated formation energy is -0.2507 eV/atom.

=====

(8)
Computed, not measured: a relaxed structure of K2Sn4Au3 at the GGA-PBE level of DFT. Values from VASP.

Cell and atoms, written as Quantum ESPRESSO input:
```
&SYSTEM
  ibrav = 0, nat = 9, ntyp = 3
/
ATOMIC_SPECIES
Sn 118.71 Sn.upf
Au 196.97 Au.upf
K 39.10 K.upf
CELL_PARAMETERS angstrom
6.5508 -0.3323 0.0000
-3.3388 5.6459 0.0000
-1.6060 -2.6568 6.9903
ATOMIC_POSITIONS crystal
Sn 0.9809 0.3282 0.3091
Sn 0.0191 0.6718 0.6909
Sn 0.3282 0.9809 0.3091
Sn 0.6718 0.0191 0.6909
Au 0.5000 0.0000 0.0000
Au 0.0000 0.0000 0.0000
Au 0.0000 0.5000 0.0000
K 0.3709 0.3709 0.7419
K 0.6291 0.6291 0.2581
```

Summary:
Its total energy is -3.35 eV/atom. The value obtained for the calculated formation energy is -0.2331 eV/atom.

=====

(9)
Computed, not measured: a relaxed structure of KSn2Au5 at the GGA-PBE level of DFT. Values from VASP.

Cell and atoms, written as Quantum ESPRESSO input:
```
&SYSTEM
  ibrav = 0, nat = 8, ntyp = 3
/
ATOMIC_SPECIES
Au 196.97 Au.upf
Sn 118.71 Sn.upf
K 39.10 K.upf
CELL_PARAMETERS angstrom
-0.1357 2.8532 -3.5645
-6.7845 0.6189 -2.1732
-3.5970 5.8765 1.9140
ATOMIC_POSITIONS crystal
Au 0.3716 0.4378 0.8191
Au 0.6284 0.1809 0.5622
Au 0.0000 0.5000 0.5000
Au 0.6284 0.5622 0.1809
Au 0.3716 0.8191 0.4378
Sn 0.7555 0.7445 0.7445
Sn 0.2445 0.2555 0.2555
K 0.0000 0.0000 0.0000
```

Summary:
Its total energy is -3.37 eV/atom. The value obtained for the calculated formation energy is -0.1848 eV/atom.

=====

(10)
Computed, not measured: a relaxed structure of KSn2Au6 at the GGA-PBE level of DFT. Values from VASP.

Cell and atoms, written as Quantum ESPRESSO input:
```
&SYSTEM
  ibrav = 0, nat = 9, ntyp = 3
/
ATOMIC_SPECIES
Au 196.97 Au.upf
K 39.10 K.upf
Sn 118.71 Sn.upf
CELL_PARAMETERS angstrom
-3.1495 -1.7956 -3.1167
2.3071 -7.3631 -1.7562
-3.0924 -6.5329 3.2219
ATOMIC_POSITIONS crystal
Au 0.5000 0.3105 0.6895
Au 0.5000 0.6895 0.3105
Au 0.7059 0.0854 0.5028
Au 0.2941 0.9146 0.4972
Au 0.2941 0.4972 0.9146
Au 0.7059 0.5028 0.0854
K 0.0000 0.0000 0.0000
Sn 0.1388 0.3612 0.3612
Sn 0.8612 0.6388 0.6388
```

Summary:
Its total energy is -3.27 eV/atom. The value obtained for the calculated formation energy is -0.0703 eV/atom.

=====

(11)
Computed, not measured: a relaxed structure of KSn2Au at the GGA-PBE level of DFT. Values from VASP.

Cell and atoms, written as Quantum ESPRESSO input:
```
&SYSTEM
  ibrav = 0, nat = 4, ntyp = 3
/
ATOMIC_SPECIES
Sn 118.71 Sn.upf
K 39.10 K.upf
Au 196.97 Au.upf
CELL_PARAMETERS angstrom
-4.1677 -0.4778 -1.8187
-0.4913 -0.3360 -4.5333
-0.9507 -7.2431 -1.6658
ATOMIC_POSITIONS crystal
Sn 0.7152 0.7152 0.8545
Sn 0.2848 0.2848 0.1455
K 0.5000 0.5000 0.5000
Au 0.0000 0.0000 0.0000
```

Summary:
Its total energy is -3.39 eV/atom. The value obtained for the calculated formation energy is -0.2916 eV/atom.

=====

(12)
Computed, not measured: a relaxed structure of KSn4Au6 at the GGA-PBE level of DFT. Values from VASP.

Cell and atoms, written as Quantum ESPRESSO input:
```
&SYSTEM
  ibrav = 0, nat = 11, ntyp = 3
/
ATOMIC_SPECIES
Au 196.97 Au.upf
K 39.10 K.upf
Sn 118.71 Sn.upf
CELL_PARAMETERS angstrom
-0.4130 -0.6221 -3.9691
8.5861 0.5011 -0.9719
-3.7369 -7.6442 1.5869
ATOMIC_POSITIONS crystal
Au 0.5000 0.7306 0.9390
Au 0.5000 0.0610 0.7916
Au 0.0000 0.6531 0.1241
Au 0.0000 0.8759 0.5290
Au 0.0000 0.4710 0.3469
Au 0.5000 0.2084 0.2694
K 0.0000 0.3333 0.6667
Sn 0.5000 0.4058 0.0679
Sn 0.5000 0.6621 0.5942
Sn 0.5000 0.9321 0.3379
Sn 0.0000 0.0000 0.0000
```

Summary:
Its total energy is -3.54 eV/atom. The value obtained for the calculated formation energy is -0.1993 eV/atom.